Here is a relaxed HfBi3B crystal from Alexandria. Energies are from PBE.

Cell lengths 5.0196, 5.0196, 5.0196 Å; angles 90.00, 90.00, 90.00 degrees
Closest atoms and distances in Å follow each position.
Positions (direct):
B 0.0000 0.0000 0.0000  6 Bi 2.51
Hf 0.5000 0.5000 0.5000  12 Bi 3.55
Bi 0.0000 0.5000 0.0000  2 B 2.51
Bi 0.0000 0.0000 0.5000  2 B 2.51
Bi 0.5000 0.0000 0.0000  2 B 2.51

Results
M_tot = 0.00 μB per formula unit
Formation enthalpy at 0 K = 0.890 eV/atom
Space group = Pm-3m (221)